The following is a GGA-PBE calculation of crystalline BaHfAu2 at its relaxed geometry, from Alexandria via LeMat-Bulk.

a = 5.2438 Å, b = 5.2438 Å, c = 5.2438 Å
α = 60.00°, β = 60.00°, γ = 60.00°
Element x y z (fractional)
Ba (0.0000, 0.0000, 0.0000)
Hf (0.5000, 0.5000, 0.5000)
Au (0.2500, 0.2500, 0.2500)
Au (0.7500, 0.7500, 0.7500)

## Properties
- space group = No. 225
- ΔE_f (eV per atom) = -0.070
- energy relative to the lowest polymorph listed for this composition (eV/atom) = 0.4030

The following is a GGA-PBE calculation of crystalline Zr2InBi at its relaxed geometry, from Alexandria via LeMat-Bulk.

a = 4.6660 Å, b = 4.6660 Å, c = 4.3271 Å
α = 90.00°, β = 90.00°, γ = 90.00°
Element x y z (fractional)
Zr (0.0000, 0.5000, 0.0000)
Zr (0.5000, 0.0000, 0.0000)
In (0.0000, 0.0000, 0.5000)
Bi (0.5000, 0.5000, 0.5000)

## Properties
- space group = No. 123
- ΔE_f (eV per atom) = -0.185
- energy relative to the lowest polymorph listed for this composition (eV/atom) = 0.0011

The following is a GGA-PBE calculation of crystalline PuTlSnPb at its relaxed geometry, from Alexandria via LeMat-Bulk.

a = 4.6990 Å, b = 4.7706 Å, c = 4.8379 Å
α = 90.00°, β = 90.00°, γ = 90.00°
Element x y z (fractional)
Pu (0.0000, 0.0000, 0.0000)
Tl (0.0000, 0.5000, 0.5000)
Sn (0.5000, 0.5000, 0.0000)
Pb (0.5000, 0.0000, 0.5000)

## Properties
- space group = No. 47
- ΔE_f (eV per atom) = -0.176
- energy relative to the lowest polymorph listed for this composition (eV/atom) = 0.0000

The following is a GGA-PBE calculation of crystalline Re2PtCl at its relaxed geometry, from Alexandria via LeMat-Bulk.

a = 4.6954 Å, b = 4.6954 Å, c = 2.7841 Å
α = 90.00°, β = 90.00°, γ = 90.14°
Element x y z (fractional)
Re (0.0000, 0.5000, 0.0000)
Re (0.5000, 0.0000, 0.0000)
Pt (0.0000, 0.0000, 0.5000)
Cl (0.5000, 0.5000, 0.5000)

## Properties
- space group = No. 65
- formation energy from raw total energies (eV per atom) = 1.02
- energy relative to the lowest polymorph listed for this composition (eV/atom) = 0.7869

The following is a GGA-PBE calculation of crystalline SmDy2AlN at its relaxed geometry, from Alexandria via LeMat-Bulk.

a = 4.7802 Å, b = 4.7802 Å, c = 4.9118 Å
α = 90.00°, β = 90.00°, γ = 90.00°
Element x y z (fractional)
Sm (0.0000, 0.0000, 0.0000)
Dy (0.0000, 0.5000, 0.5000)
Dy (0.5000, 0.0000, 0.5000)
Al (0.5000, 0.5000, 0.0000)
N (0.0000, 0.0000, 0.5000)

## Properties
- space group = No. 123
- formation energy from raw total energies (eV per atom) = -0.88

The following is a GGA-PBE calculation of crystalline Sr2SmAgTe4 at its relaxed geometry, from Alexandria via LeMat-Bulk.

a = 7.9270 Å, b = 4.5893 Å, c = 7.9954 Å
α = 90.00°, β = 110.21°, γ = 90.00°
Element x y z (fractional)
Sr (0.0000, 0.0000, 0.0000)
Sr (0.0000, 0.5000, 0.5000)
Sm (0.5000, 0.0000, 0.5000)
Ag (0.5000, 0.5000, 0.0000)
Te (0.2640, 0.5000, 0.2595)
Te (0.2768, 0.0000, 0.7606)
Te (0.7232, 0.0000, 0.2394)
Te (0.7360, 0.5000, 0.7405)

## Properties
- space group = No. 10
- formation energy from raw total energies (eV per atom) = -1.26

The following is a GGA-PBE calculation of crystalline LiPNF2 at its relaxed geometry, from Alexandria via LeMat-Bulk.

a = 4.2634 Å, b = 4.2634 Å, c = 3.3194 Å
α = 90.00°, β = 90.00°, γ = 90.00°
Element x y z (fractional)
Li (0.0000, 0.0000, 0.0000)
P (0.5000, 0.5000, 0.5000)
N (0.5000, 0.5000, 0.0000)
F (0.0000, 0.5000, 0.5000)
F (0.5000, 0.0000, 0.5000)

## Properties
- space group = No. 123
- formation energy from raw total energies (eV per atom) = -1.00
- energy relative to the lowest polymorph listed for this composition (eV/atom) = 0.0000

The following is a GGA-PBE calculation of crystalline MgMnCr2 at its relaxed geometry, from Alexandria via LeMat-Bulk.

a = 4.2805 Å, b = 4.2805 Å, c = 4.2805 Å
α = 60.00°, β = 60.00°, γ = 60.00°
Element x y z (fractional)
Mg (0.0000, 0.0000, 0.0000)
Mn (0.2500, 0.2500, 0.2500)
Cr (0.5000, 0.5000, 0.5000)
Cr (0.7500, 0.7500, 0.7500)

## Properties
- space group = No. 216
- ΔE_f (eV per atom) = 0.299

The following is a GGA-PBE calculation of crystalline SrIrCl at its relaxed geometry, from Alexandria via LeMat-Bulk.

a = 4.7983 Å, b = 4.7983 Å, c = 6.2456 Å
α = 90.00°, β = 90.00°, γ = 90.00°
Element x y z (fractional)
Sr (0.2500, 0.2500, 0.1719)
Sr (0.7500, 0.7500, 0.8281)
Ir (0.2500, 0.2500, 0.6880)
Ir (0.7500, 0.7500, 0.3120)
Cl (0.2500, 0.7500, 0.5000)
Cl (0.7500, 0.2500, 0.5000)

## Properties
- space group = No. 129
- formation energy from raw total energies (eV per atom) = 0.08
- energy relative to the lowest polymorph listed for this composition (eV/atom) = 1.3319

The following is a GGA-PBE calculation of crystalline Mg7HgAu4 at its relaxed geometry, from Alexandria via LeMat-Bulk.

a = 7.1415 Å, b = 7.1415 Å, c = 9.5058 Å
α = 124.60°, β = 124.60°, γ = 41.41°
Element x y z (fractional)
Mg (0.0000, 0.0000, 0.0000)
Mg (0.1806, 0.1806, 0.6184)
Mg (0.2816, 0.2816, 0.1278)
Mg (0.4365, 0.4365, 0.6509)
Mg (0.5635, 0.5635, 0.3491)
Mg (0.7184, 0.7184, 0.8722)
Mg (0.8194, 0.8194, 0.3816)
Hg (0.5000, 0.5000, 0.0000)
Au (0.0672, 0.0672, 0.7704)
Au (0.2033, 0.2033, 0.3447)
Au (0.7967, 0.7967, 0.6553)
Au (0.9328, 0.9328, 0.2296)

## Properties
- space group = No. 12
- ΔE_f (eV per atom) = -0.365

The following is a GGA-PBE calculation of crystalline Sc2ZnH2 at its relaxed geometry, from Alexandria via LeMat-Bulk.

a = 6.0441 Å, b = 6.0441 Å, c = 6.0441 Å
α = 147.27°, β = 147.27°, γ = 46.96°
Element x y z (fractional)
Sc (0.1499, 0.1499, 0.0000)
Sc (0.8501, 0.8501, 0.0000)
Zn (0.5000, 0.5000, 0.0000)
H (0.2500, 0.7500, 0.5000)
H (0.7500, 0.2500, 0.5000)

## Properties
- space group = No. 139
- total energy (eV per cell) = -23.53

The following is a GGA-PBE calculation of crystalline FeAgIr4 at its relaxed geometry, from Alexandria via LeMat-Bulk.

a = 5.1801 Å, b = 5.1801 Å, c = 5.1801 Å
α = 60.00°, β = 60.00°, γ = 60.00°
Element x y z (fractional)
Fe (0.0000, 0.0000, 0.0000)
Ag (0.2500, 0.2500, 0.2500)
Ir (0.1244, 0.6252, 0.6252)
Ir (0.6252, 0.1244, 0.6252)
Ir (0.6252, 0.6252, 0.1244)
Ir (0.6252, 0.6252, 0.6252)

## Properties
- space group = No. 216
- ΔE_f (eV per atom) = 0.502

The following is a GGA-PBE calculation of crystalline PrF3 at its relaxed geometry, from Alexandria via LeMat-Bulk.

a = 7.1430 Å, b = 7.1430 Å, c = 7.3246 Å
α = 90.00°, β = 90.00°, γ = 120.00°
Element x y z (fractional)
Pr (0.0000, 0.3440, 0.2500)
Pr (0.0000, 0.6560, 0.7500)
Pr (0.3440, 0.0000, 0.2500)
Pr (0.3440, 0.3440, 0.7500)
Pr (0.6560, 0.0000, 0.7500)
Pr (0.6560, 0.6560, 0.2500)
F (0.0000, 0.0000, 0.2500)
F (0.0000, 0.0000, 0.7500)
F (0.0628, 0.3718, 0.9194)
F (0.0628, 0.6910, 0.4194)
F (0.3090, 0.3718, 0.4194)
F (0.3090, 0.9372, 0.9194)
F (0.3333, 0.6667, 0.1823)
F (0.3333, 0.6667, 0.6823)
F (0.3718, 0.0628, 0.5806)
F (0.3718, 0.3090, 0.0806)
F (0.6282, 0.6910, 0.9194)
F (0.6282, 0.9372, 0.4194)
F (0.6667, 0.3333, 0.3177)
F (0.6667, 0.3333, 0.8177)
F (0.6910, 0.0628, 0.0806)
F (0.6910, 0.6282, 0.5806)
F (0.9372, 0.3090, 0.5806)
F (0.9372, 0.6282, 0.0806)

## Properties
- space group = No. 165
- formation energy from raw total energies (eV per atom) = -4.10

The following is a GGA-PBE calculation of crystalline LaCuCl2 at its relaxed geometry, from Alexandria via LeMat-Bulk.

a = 5.2464 Å, b = 5.2464 Å, c = 5.2464 Å
α = 128.12°, β = 128.12°, γ = 76.44°
Element x y z (fractional)
La (0.0000, 0.0000, 0.0000)
Cu (0.5000, 0.5000, 0.0000)
Cl (0.2500, 0.7500, 0.5000)
Cl (0.7500, 0.2500, 0.5000)

## Properties
- space group = No. 139
- formation energy from raw total energies (eV per atom) = -1.14
- energy relative to the lowest polymorph listed for this composition (eV/atom) = 0.0328

The following is a GGA-PBE calculation of crystalline TbErCu4 at its relaxed geometry, from Alexandria via LeMat-Bulk.

a = 5.2502 Å, b = 5.2502 Å, c = 5.2502 Å
α = 60.00°, β = 60.00°, γ = 60.00°
Element x y z (fractional)
Tb (0.0000, 0.0000, 0.0000)
Er (0.2500, 0.2500, 0.2500)
Cu (0.1259, 0.6247, 0.6247)
Cu (0.6247, 0.1259, 0.6247)
Cu (0.6247, 0.6247, 0.1259)
Cu (0.6247, 0.6247, 0.6247)

## Properties
- space group = No. 216
- ΔE_f (eV per atom) = -0.180
- energy relative to the lowest polymorph listed for this composition (eV/atom) = 0.0983

The following is a GGA-PBE calculation of crystalline Y3TiGa12 at its relaxed geometry, from Alexandria via LeMat-Bulk.

a = 4.2125 Å, b = 4.2125 Å, c = 16.8635 Å
α = 90.00°, β = 90.00°, γ = 90.00°
Element x y z (fractional)
Y (0.0000, 0.0000, 0.0000)
Y (0.0000, 0.0000, 0.2596)
Y (0.0000, 0.0000, 0.7404)
Ti (0.0000, 0.0000, 0.5000)
Ga (0.0000, 0.5000, 0.1288)
Ga (0.0000, 0.5000, 0.3866)
Ga (0.0000, 0.5000, 0.6134)
Ga (0.0000, 0.5000, 0.8712)
Ga (0.5000, 0.0000, 0.1288)
Ga (0.5000, 0.0000, 0.3866)
Ga (0.5000, 0.0000, 0.6134)
Ga (0.5000, 0.0000, 0.8712)
Ga (0.5000, 0.5000, 0.0000)
Ga (0.5000, 0.5000, 0.2527)
Ga (0.5000, 0.5000, 0.5000)
Ga (0.5000, 0.5000, 0.7473)

## Properties
- space group = No. 123
- ΔE_f (eV per atom) = -0.475

The following is a GGA-PBE calculation of crystalline LaPuTh2Sb4 at its relaxed geometry, from Alexandria via LeMat-Bulk.

a = 7.8315 Å, b = 4.5292 Å, c = 7.8370 Å
α = 90.00°, β = 109.54°, γ = 90.00°
Element x y z (fractional)
La (0.0000, 0.0000, 0.0000)
Pu (0.5000, 0.5000, 0.0000)
Th (0.0000, 0.5000, 0.5000)
Th (0.5000, 0.0000, 0.5000)
Sb (0.2540, 0.0000, 0.7503)
Sb (0.2546, 0.5000, 0.2531)
Sb (0.7454, 0.5000, 0.7469)
Sb (0.7460, 0.0000, 0.2497)

## Properties
- space group = No. 10
- formation energy from raw total energies (eV per atom) = -0.96

The following is a GGA-PBE calculation of crystalline Rb3Np4O12 at its relaxed geometry, from Alexandria via LeMat-Bulk.

a = 7.4187 Å, b = 7.4187 Å, c = 7.4187 Å
α = 109.47°, β = 109.47°, γ = 109.47°
Element x y z (fractional)
Rb (0.0000, 0.5000, 0.5000)
Rb (0.5000, 0.0000, 0.5000)
Rb (0.5000, 0.5000, 0.0000)
Np (0.0000, 0.0000, 0.5000)
Np (0.0000, 0.5000, 0.0000)
Np (0.5000, 0.0000, 0.0000)
Np (0.5000, 0.5000, 0.5000)
O (0.0000, 0.2532, 0.7468)
O (0.0000, 0.7468, 0.2532)
O (0.2532, 0.0000, 0.7468)
O (0.2532, 0.2532, 0.5064)
O (0.2532, 0.5064, 0.2532)
O (0.2532, 0.7468, 0.0000)
O (0.4936, 0.7468, 0.7468)
O (0.5064, 0.2532, 0.2532)
O (0.7468, 0.0000, 0.2532)
O (0.7468, 0.2532, 0.0000)
O (0.7468, 0.4936, 0.7468)
O (0.7468, 0.7468, 0.4936)

## Properties
- space group = No. 229
- formation energy from raw total energies (eV per atom) = -2.68

The following is a GGA-PBE calculation of crystalline AsPC at its relaxed geometry, from Alexandria via LeMat-Bulk.

a = 4.8049 Å, b = 4.8049 Å, c = 4.8049 Å
α = 143.66°, β = 117.46°, γ = 74.53°
Element x y z (fractional)
As (0.0000, 0.0000, 0.0000)
P (0.3783, 0.8783, 0.5000)
C (0.1534, 0.6534, 0.5000)

## Properties
- space group = No. 44
- ΔE_f (eV per atom) = 0.731
- energy relative to the lowest polymorph listed for this composition (eV/atom) = 0.3513

The following is a GGA-PBE calculation of crystalline HgAs2Br6 at its relaxed geometry, from Alexandria via LeMat-Bulk.

a = 12.1790 Å, b = 12.1790 Å, c = 5.7730 Å
α = 96.29°, β = 96.29°, γ = 97.54°
Element x y z (fractional)
Hg (0.0502, 0.9498, 0.7500)
Hg (0.9498, 0.0502, 0.2500)
As (0.2471, 0.4774, 0.3327)
As (0.4774, 0.2471, 0.8327)
As (0.5226, 0.7529, 0.1673)
As (0.7529, 0.5226, 0.6673)
Br (0.1189, 0.3099, 0.2427)
Br (0.1253, 0.6123, 0.3192)
Br (0.3099, 0.1189, 0.7427)
Br (0.3182, 0.4883, 0.9582)
Br (0.3877, 0.8747, 0.1808)
Br (0.4883, 0.3182, 0.4582)
Br (0.5117, 0.6818, 0.5418)
Br (0.6123, 0.1253, 0.8192)
Br (0.6818, 0.5117, 0.0418)
Br (0.6901, 0.8811, 0.2573)
Br (0.8747, 0.3877, 0.6808)
Br (0.8811, 0.6901, 0.7573)

## Properties
- space group = No. 15
- formation energy from raw total energies (eV per atom) = -0.37

The following is a GGA-PBE calculation of crystalline MgAl2H8 at its relaxed geometry, from Alexandria via LeMat-Bulk.

a = 4.6254 Å, b = 4.7690 Å, c = 6.3971 Å
α = 81.07°, β = 75.65°, γ = 62.96°
Element x y z (fractional)
Mg (0.0000, 0.0000, 0.0000)
Al (0.4266, 0.3679, 0.7086)
Al (0.5734, 0.6321, 0.2914)
H (0.0930, 0.6688, 0.8138)
H (0.2411, 0.6969, 0.2068)
H (0.3625, 0.0646, 0.8430)
H (0.4554, 0.2909, 0.4624)
H (0.5446, 0.7091, 0.5376)
H (0.6375, 0.9354, 0.1570)
H (0.7589, 0.3031, 0.7932)
H (0.9070, 0.3312, 0.1862)

## Properties
- space group = No. 2
- energy relative to the lowest polymorph listed for this composition (eV/atom) = 0.0030

The following is a GGA-PBE calculation of crystalline Nb2Al6Zn at its relaxed geometry, from Alexandria via LeMat-Bulk.

a = 6.6268 Å, b = 6.6268 Å, c = 6.3728 Å
α = 109.81°, β = 109.81°, γ = 34.28°
Element x y z (fractional)
Nb (0.0545, 0.0545, 0.3166)
Nb (0.9455, 0.9455, 0.6834)
Al (0.1697, 0.1697, 0.0076)
Al (0.2798, 0.2798, 0.6491)
Al (0.3967, 0.3967, 0.3393)
Al (0.6033, 0.6033, 0.6607)
Al (0.7202, 0.7202, 0.3509)
Al (0.8303, 0.8303, 0.9924)
Zn (0.5000, 0.5000, 0.0000)

## Properties
- space group = No. 12
- ΔE_f (eV per atom) = -0.217

The following is a GGA-PBE calculation of crystalline Y2ErS at its relaxed geometry, from Alexandria via LeMat-Bulk.

a = 9.3865 Å, b = 9.3865 Å, c = 9.3865 Å
α = 22.97°, β = 22.97°, γ = 22.97°
Element x y z (fractional)
Y (0.0000, 0.0000, 0.0000)
Y (0.2103, 0.2103, 0.2103)
Er (0.7724, 0.7724, 0.7724)
S (0.6053, 0.6053, 0.6053)

## Properties
- space group = No. 160
- formation energy from raw total energies (eV per atom) = -0.96
- energy relative to the lowest polymorph listed for this composition (eV/atom) = 0.0000

The following is a GGA-PBE calculation of crystalline K2PdPbCl6 at its relaxed geometry, from Alexandria via LeMat-Bulk.

a = 7.3455 Å, b = 7.3831 Å, c = 7.4180 Å
α = 119.25°, β = 90.45°, γ = 119.10°
Element x y z (fractional)
K (0.2438, 0.0099, 0.2726)
K (0.7562, 0.9901, 0.7274)
Pd (0.0000, 0.5000, 0.5000)
Pb (0.5000, 0.5000, 0.0000)
Cl (0.1948, 0.9755, 0.6925)
Cl (0.2114, 0.5760, 0.8288)
Cl (0.2987, 0.5070, 0.3299)
Cl (0.7013, 0.4930, 0.6701)
Cl (0.7886, 0.4240, 0.1712)
Cl (0.8052, 0.0245, 0.3075)

## Properties
- space group = No. 2
- formation energy from raw total energies (eV per atom) = -1.21